1.
DFT (GGA-PBEsol) results for crystalline NaHg3Te at its relaxed geometry.

Results
E_form (uncorrected) (eV/atom): 0.220
Space-group type: Pm-3m, No. 221

Lattice parameters (Å, degrees): 5.797 5.797 5.797 90.00 90.00 90.00
Element x y z (fractional)
1 Te 0.000 0.000 0.000
2 Na 0.500 0.500 0.500
3 Hg 0.000 0.000 0.500
4 Hg 0.500 0.000 0.000
5 Hg 0.000 0.500 0.000

=====

2.
DFT (GGA-PBEsol) results for crystalline Ba4Cu3SeO6 at its relaxed geometry.

Results
E_form (uncorrected) (eV/atom): -1.717
Space-group type: Im-3m, No. 229

Lattice parameters (Å, degrees): 6.758 6.758 6.758 109.47 109.47 109.47
Element x y z (fractional)
1 O 0.500 0.250 0.750
2 O 0.500 0.750 0.250
3 O 0.250 0.750 0.500
4 O 0.750 0.500 0.250
5 O 0.750 0.250 0.500
6 O 0.250 0.500 0.750
7 Ba 0.000 0.500 0.000
8 Ba 0.000 0.000 0.500
9 Ba 0.500 0.500 0.500
10 Ba 0.500 0.000 0.000
11 Cu 0.500 0.000 0.500
12 Cu 0.000 0.500 0.500
13 Cu 0.500 0.500 0.000
14 Se 0.000 0.000 0.000

=====

3.
DFT (GGA-PBEsol) results for crystalline Sr2CuMoO6 at its relaxed geometry.

Results
E_form (uncorrected) (eV/atom): -2.200
Space-group type: I4/m, No. 87

Lattice parameters (Å, degrees): 5.334 5.690 5.334 62.05 90.00 117.95
Element x y z (fractional)
1 Cu 0.500 0.000 0.500
2 O 0.299 0.000 0.197
3 O 0.197 0.000 0.701
4 O 0.803 0.000 0.299
5 O 0.225 0.450 0.775
6 O 0.701 0.000 0.803
7 O 0.775 0.550 0.225
8 Mo 0.000 0.000 0.000
9 Sr 0.750 0.500 0.750
10 Sr 0.250 0.500 0.250

=====

4.
DFT (GGA-PBEsol) results for crystalline SiTeP at its relaxed geometry.

Results
E_form (uncorrected) (eV/atom): 0.857
Space-group type: F-43m, No. 216

Lattice parameters (Å, degrees): 4.602 4.602 4.602 60.00 60.00 60.00
Element x y z (fractional)
1 P 0.000 0.000 0.000
2 Si 0.500 0.500 0.500
3 Te 0.750 0.750 0.750

=====

5.
DFT (GGA-PBEsol) results for crystalline ScPb3 at its relaxed geometry.

Results
Space-group type: Imm2, No. 44
Formation enthalpy at 0 K (kcal/mol of atoms): -3.394

Lattice parameters (Å, degrees): 3.506 5.481 6.363 115.51 105.99 90.00
Element x y z (fractional)
1 Pb 0.738 0.713 0.476
2 Pb 0.500 0.869 0.000
3 Pb 0.262 0.237 0.524
4 Sc 0.000 0.348 0.000

=====

6.
DFT (GGA-PBEsol) results for crystalline YTlTe at its relaxed geometry.

Results
E_form (uncorrected) (eV/atom): -0.106
Space-group type: F-43m, No. 216

Lattice parameters (Å, degrees): 5.141 5.141 5.141 60.00 60.00 60.00
Element x y z (fractional)
1 Tl 0.250 0.250 0.250
2 Te 0.500 0.500 0.500
3 Y 0.000 0.000 0.000

=====

7.
DFT (GGA-PBEsol) results for crystalline KTaCl2 at its relaxed geometry.

Results
Offset from the most stable computed form (eV per atom): 0.0000
E_form (uncorrected) (eV/atom): -0.419
Space-group type: R-3m, No. 166

Lattice parameters (Å, degrees): 3.253 3.253 9.283 79.91 79.91 60.00
Element x y z (fractional)
1 Cl 0.731 0.731 0.806
2 Cl 0.269 0.269 0.194
3 K 0.500 0.500 0.500
4 Ta 0.000 0.000 0.000

=====

8.
DFT (GGA-PBEsol) results for crystalline LiZn2As at its relaxed geometry.

Results
Space-group type: I-4m2, No. 119
Formation enthalpy at 0 K (kcal/mol of atoms): -3.496

Lattice parameters (Å, degrees): 3.895 3.894 4.848 113.66 113.66 90.03
Element x y z (fractional)
1 Zn 0.250 0.750 0.500
2 Zn 0.000 0.000 0.000
3 As 0.500 0.500 0.000
4 Li 0.750 0.250 0.500